Version P
Computed, not measured: a geometry-optimized CsTlHg2 structure at the GGA-PBE level of DFT.

Magnetization: 0.0 μB per formula unit
Crystal system: trigonal
Fermi-level density of states: 2.16 states/eV/f.u.

Unit cell a=5.3989 b=5.3989 c=20.0888 alpha=90.00 beta=90.00 gamma=120.00
Space group R3m (No. 160, hexagonal axes)
Symmetry-distinct sites (fractional):
Cs 0.0000 0.0000 0.0000 [3 per cell]
Tl 0.0000 0.0000 0.1925 [3 per cell]
Hg 0.0000 0.0000 0.5387 [3 per cell]
Hg 0.0000 0.0000 0.8032 [3 per cell]

Version Q
Computed, not measured: a geometry-optimized CsTlHg2 structure at the GGA-PBE level of DFT.

Magnetization: 0.0 μB per formula unit
Crystal system: cubic
Fermi-level density of states: 3.92 states/eV/f.u.

Unit cell a=8.397 b=8.397 c=8.397 alpha=90.00 beta=90.00 gamma=90.00
Space group Fm-3m (No. 225)
Symmetry-distinct sites (fractional):
Cs 0.000 0.000 0.000 [4 per cell]
Tl 0.000 0.000 0.500 [4 per cell]
Hg 0.250 0.250 0.250 [8 per cell]

Version R
Computed, not measured: a geometry-optimized CsTlHg2 structure at the GGA-PBE level of DFT.

Magnetization: 0.0 μB per formula unit
Crystal system: tetragonal
Fermi-level density of states: 3.92 states/eV/f.u.

Unit cell a=5.765 b=5.765 c=4.528 alpha=90.00 beta=90.00 gamma=90.00
Space group P4/mmm (No. 123)
Symmetry-distinct sites (fractional):
Cs 0.000 0.000 0.000 [1 per cell]
Tl 0.500 0.500 0.000 [1 per cell]
Hg 0.000 0.500 0.500 [2 per cell]

From most stable to least stable, the computed energies give version P, version Q, version R.

Version P
Computed, not measured: a geometry-optimized CsTlHg2 structure at the GGA-PBE level of DFT.

Magnetization: 0.0 μB per formula unit
Crystal system: tetragonal
Fermi-level density of states: 2.43 states/eV/f.u.

Unit cell a=4.268 b=4.268 c=8.115 alpha=90.00 beta=90.00 gamma=90.00
Space group P4/mmm (No. 123)
Symmetry-distinct sites (fractional):
Cs 0.000 0.000 0.000 [1 per cell]
Tl 0.000 0.000 0.500 [1 per cell]
Hg 0.500 0.500 0.304 [2 per cell]

Version Q
Computed, not measured: a geometry-optimized CsTlHg2 structure at the GGA-PBE level of DFT.

Magnetization: 0.0 μB per formula unit
Crystal system: trigonal
Fermi-level density of states: 2.86 states/eV/f.u.

Unit cell a=5.3946 b=5.3946 c=19.4763 alpha=90.00 beta=90.00 gamma=120.00
Space group R-3m (No. 166, hexagonal axes)
Symmetry-distinct sites (fractional):
Cs 0.0000 0.0000 0.0000 [3 per cell]
Tl 0.0000 0.0000 0.5000 [3 per cell]
Hg 0.0000 0.0000 0.2063 [6 per cell]

From most stable to least stable, the computed energies give version Q, version P.